## TlCoO3 (PBE with a Hubbard U)

Data for a relaxed TlCoO3 crystal.

Results
The calculation puts the total energy at -5.189 eV/atom.

Cell lengths 5.312, 5.389, 7.975 Å; angles 89.47, 89.33, 87.33 degrees
Atoms (fractional coordinates):
Tl  0.005  0.040  0.249
Tl  0.474  0.544  0.246
Tl  0.526  0.456  0.754
Tl  0.995  0.960  0.751
Co  0.000  0.500  0.000
Co  0.000  0.500  0.500
Co  0.500  0.000  0.000
Co  0.500  0.000  0.500
O  0.115  0.553  0.768
O  0.192  0.783  0.444
O  0.197  0.775  0.068
O  0.289  0.284  0.057
O  0.295  0.291  0.442
O  0.399  0.047  0.748
O  0.601  0.953  0.252
O  0.705  0.709  0.558
O  0.711  0.716  0.943
O  0.803  0.225  0.932
O  0.808  0.217  0.556
O  0.885  0.447  0.232